Computed, not measured: a PBEsol-optimized structure of Mg2CoRh at the meta-GGA SCAN level of DFT.

Values from the calculation:
Its crystal system is tetragonal. The calculation puts the formation energy at -0.62 eV/f.u. Its electronic total energy is -15.411 eV per atom. For the density of states at the Fermi level, the calculation gives 0.39 states/eV per atom.

a = 2.9604 Å, b = 2.9604 Å, c = 7.1212 Å
α = 90.00°, β = 90.00°, γ = 90.00°
Closest atoms and distances in Å follow each position.
Sites, in units of the cell vectors:
Mg 0.0000 0.0000 0.0000  4 Co 2.64
Mg 0.5000 0.5000 0.3442  4 Rh 2.68, 4 Mg 2.96
Co 0.5000 0.5000 0.7739  4 Rh 2.51, 4 Mg 2.64
Rh 0.0000 0.0000 0.5796  4 Co 2.51, 4 Mg 2.68

***

Computed, not measured: a PBEsol-optimized structure of TePb2Au2 at the meta-GGA SCAN level of DFT.

Values from the calculation:
The calculation puts the formation energy from raw total energies at -7.9 kJ/mol of atoms. Its crystal system is tetragonal. Its electronic total energy is -65.507 eV per atom. For the density of states at the Fermi level, the calculation gives 0.31 states/eV per atom. The calculation puts the offset from the most stable computed form at 0.0000 eV per atom.

a = 7.6185 Å, b = 7.6185 Å, c = 4.2209 Å
α = 90.00°, β = 90.00°, γ = 90.00°
Closest atoms and distances in Å follow each position.
Sites, in units of the cell vectors:
Te 0.0000 0.0000 0.0000  4 Au 2.99
Te 0.5000 0.5000 0.0000  4 Au 2.99
Pb 0.1682 0.3318 0.5000  6 Au 3.03-3.11
Pb 0.3318 0.8318 0.5000  6 Au 3.03-3.11
Pb 0.6682 0.1682 0.5000  6 Au 3.03-3.11
Pb 0.8318 0.6682 0.5000  6 Au 3.03-3.11
Au 0.1299 0.6299 0.0000  1 Au 2.80, 2 Te 2.99, 6 Pb 3.03-3.11
Au 0.3701 0.1299 0.0000  1 Au 2.80, 2 Te 2.99, 6 Pb 3.03-3.11
Au 0.6299 0.8701 0.0000  1 Au 2.80, 2 Te 2.99, 6 Pb 3.03-3.11
Au 0.8701 0.3701 0.0000  1 Au 2.80, 2 Te 2.99, 6 Pb 3.03-3.11

***

Computed, not measured: a PBEsol-optimized structure of NaSr3Ag at the meta-GGA SCAN level of DFT.

Values from the calculation:
Its crystal system is cubic. The calculation puts the formation energy at -0.50 eV/f.u. Its electronic total energy is -20.582 eV per atom. For the density of states at the Fermi level, the calculation gives 0.59 states/eV per atom.

a = 6.1306 Å, b = 6.1306 Å, c = 6.1306 Å
α = 90.00°, β = 90.00°, γ = 90.00°
Closest atoms and distances in Å follow each position.
Sites, in units of the cell vectors:
Na 0.0000 0.0000 0.0000  12 Sr 4.33
Sr 0.0000 0.5000 0.5000  2 Ag 3.07
Sr 0.5000 0.0000 0.5000  2 Ag 3.07
Sr 0.5000 0.5000 0.0000  2 Ag 3.07
Ag 0.5000 0.5000 0.5000  6 Sr 3.07

***

Computed, not measured: a PBEsol-optimized structure of ZnCu2Au at the meta-GGA SCAN level of DFT.

Values from the calculation:
Its crystal system is tetragonal. The calculation puts the formation energy at -0.42 eV/f.u. Its electronic total energy is -28.372 eV per atom. For the density of states at the Fermi level, the calculation gives 0.23 states/eV per atom.

a = 2.9932 Å, b = 2.9932 Å, c = 5.9198 Å
α = 90.00°, β = 90.00°, γ = 90.00°
Closest atoms and distances in Å follow each position.
Sites, in units of the cell vectors:
Zn 0.0000 0.0000 0.0000  5 Cu 2.51-2.64, 4 Au 2.69
Cu 0.0000 0.0000 0.5545  4 Cu 2.47, 1 Zn 2.64, 4 Au 2.66
Cu 0.5000 0.5000 0.7705  4 Cu 2.47, 4 Zn 2.51
Au 0.5000 0.5000 0.2816  5 Cu 2.66-2.89, 4 Zn 2.69